Record 1
A plane-wave DFT calculation with PBE-GGA was carried out for a geometry-optimized Sr2La2Tl3 structure.

Results
E_form	-7.2	kcal/mol of atoms
E	-3.22	eV/atom
crystal system	monoclinic
SG	C2/m (12)

Structure (extended XYZ):
```
7
Lattice="4.835 -2.795 0.000 4.835 2.795 0.000 -3.217 0.000 9.433" Properties=species:S:1:pos:R:3 pbc="T T T"
Sr 0.004 0.000 3.622
Sr 6.450 0.000 5.811
La 3.226 0.000 1.261
La 3.227 0.000 8.172
Tl 0.000 0.000 0.000
Tl 0.004 0.000 7.164
Tl 6.449 0.000 2.269
```



Record 2
A plane-wave DFT calculation with PBE-GGA was carried out for a geometry-optimized LiTl2HAu structure.

Results
E	-2.68	eV/atom
crystal system	tetragonal
SG	P4/mmm (123)

Structure (extended XYZ):
```
5
Lattice="5.094 0.000 0.000 0.000 5.094 0.000 0.000 0.000 3.682" Properties=species:S:1:pos:R:3 pbc="T T T"
Li 0.000 0.000 0.000
Tl 0.000 2.547 1.841
Tl 2.547 0.000 1.841
H 0.000 0.000 1.841
Au 2.547 2.547 0.000
```



Record 3
A plane-wave DFT calculation with PBE-GGA was carried out for a geometry-optimized CeEuMg2 structure.

Results
E_form	0.7	kcal/mol of atoms
E	-4.82	eV/atom
crystal system	cubic
polymorph energy (0 for the lowest one)	15	meV per atom
SG	Fm-3m (225)

Structure (extended XYZ):
```
4
Lattice="0.000 3.931 3.931 3.931 0.000 3.931 3.931 3.931 0.000" Properties=species:S:1:pos:R:3 pbc="T T T"
Ce 0.000 0.000 0.000
Eu 3.931 3.931 3.931
Mg 1.965 1.965 1.965
Mg 5.896 5.896 5.896
```



Record 4
A plane-wave DFT calculation with PBE-GGA was carried out for a geometry-optimized AcAgSnIr structure.

Results
E_form	-4.5	kcal/mol of atoms
E	-5.15	eV/atom
crystal system	cubic
SG	F-43m (216)

Structure (extended XYZ):
```
4
Lattice="0.000 3.607 3.607 3.607 0.000 3.607 3.607 3.607 0.000" Properties=species:S:1:pos:R:3 pbc="T T T"
Ac 0.000 0.000 0.000
Ag 1.804 1.804 1.804
Sn 3.607 3.607 3.607
Ir 5.411 5.411 5.411
```



Record 5
A plane-wave DFT calculation with PBE-GGA was carried out for a geometry-optimized Cr2AgCl structure.

Results
uncorrected formation energy	0.742	eV/atom
E	-5.24	eV/atom
crystal system	tetragonal
polymorph energy (0 for the lowest one)	572	meV per atom
SG	I-42d (122)

Structure (extended XYZ):
```
8
Lattice="-2.450 2.450 7.811 2.450 -2.450 7.811 2.450 2.450 -7.811" Properties=species:S:1:pos:R:3 pbc="T T T"
Cr 3.675 1.011 -1.953
Cr 1.011 1.225 1.953
Cr -1.225 1.439 5.858
Cr 1.439 1.225 9.764
Ag 2.450 0.000 3.906
Ag 0.000 0.000 7.811
Cl 0.000 0.000 0.000
Cl 0.000 2.450 3.906
```



Record 6
A plane-wave DFT calculation with PBE-GGA was carried out for a geometry-optimized AcPrTl4 structure.

Results
E_form	-6.1	kcal/mol of atoms
E	-3.32	eV/atom
crystal system	orthorhombic
polymorph energy (0 for the lowest one)	0	meV per atom
SG	Immm (71)

Structure (extended XYZ):
```
6
Lattice="-2.641 3.800 4.650 2.641 -3.800 4.650 2.641 3.800 -4.650" Properties=species:S:1:pos:R:3 pbc="T T T"
Ac 0.000 0.000 0.000
Pr 0.000 3.800 0.000
Tl 2.641 2.068 -1.545
Tl 2.641 2.068 1.545
Tl 0.000 1.733 3.105
Tl 0.000 1.733 6.195
```



Record 7
A plane-wave DFT calculation with PBE-GGA was carried out for a geometry-optimized Tm6TlCu5 structure.

Results
E_form	-6.2	kcal/mol of atoms
E	-4.41	eV/atom
crystal system	orthorhombic
SG	Cmmm (65)

Structure (extended XYZ):
```
12
Lattice="2.447 -7.324 0.000 2.447 7.324 0.000 0.000 0.000 7.078" Properties=species:S:1:pos:R:3 pbc="T T T"
Tm 0.000 0.000 1.651
Tm 0.000 0.000 5.428
Tm 2.447 2.521 1.713
Tm 2.447 2.521 5.366
Tm 2.447 -2.521 1.713
Tm 2.447 -2.521 5.366
Tl 2.447 0.000 3.539
Cu 2.447 4.925 3.539
Cu 2.447 4.906 0.000
Cu 2.447 0.000 0.000
Cu 2.447 -4.906 0.000
Cu 2.447 -4.925 3.539
```



Record 8
A plane-wave DFT calculation with PBE-GGA was carried out for a geometry-optimized MnZn2Ag structure.

Results
E_form	1.8	kcal/mol of atoms
E	-3.57	eV/atom
crystal system	tetragonal
SG	P4/mmm (123)

Structure (extended XYZ):
```
4
Lattice="4.429 0.000 0.000 0.000 4.429 0.000 0.000 0.000 3.099" Properties=species:S:1:pos:R:3 pbc="T T T"
Mn 0.000 0.000 0.000
Zn 0.000 2.215 1.549
Zn 2.215 0.000 1.549
Ag 2.215 2.215 0.000
```



Record 9
A plane-wave DFT calculation with PBE-GGA was carried out for a geometry-optimized Sr3SbO structure.

Results
uncorrected formation energy	-1.513	eV/atom
E	-4.34	eV/atom
crystal system	orthorhombic
polymorph energy (0 for the lowest one)	14	meV per atom
SG	Imma (74)

Structure (extended XYZ):
```
10
Lattice="-2.434 2.586 12.403 2.434 -2.586 12.403 2.434 2.586 -12.403" Properties=species:S:1:pos:R:3 pbc="T T T"
Sr 2.434 -1.293 8.289
Sr 0.000 1.293 1.389
Sr 2.434 1.293 4.289
Sr 0.000 1.293 8.114
Sr 2.434 1.293 11.013
Sr 0.000 3.879 4.114
Sb 2.434 1.293 -1.823
Sb 0.000 1.293 14.226
O 0.000 1.293 3.836
O 2.434 1.293 8.567
```



Record 10
A plane-wave DFT calculation with PBE-GGA was carried out for a geometry-optimized Re2MoPb structure.

Results
E_form	18.0	kcal/mol of atoms
E	-9.08	eV/atom
crystal system	orthorhombic
SG	Imm2 (44)

Structure (extended XYZ):
```
4
Lattice="-1.649 2.224 4.621 1.649 -2.224 4.621 1.649 2.224 -4.621" Properties=species:S:1:pos:R:3 pbc="T T T"
Re 0.000 0.000 0.000
Re 0.000 2.224 2.356
Mo 1.649 0.000 2.308
Pb 0.000 0.000 4.653
```



Record 11
A plane-wave DFT calculation with PBE-GGA was carried out for a geometry-optimized NdLu structure.

Results
E_form	0.4	kcal/mol of atoms
E	-4.63	eV/atom
crystal system	orthorhombic
polymorph energy (0 for the lowest one)	0	meV per atom
SG	Pmma (51)

Structure (extended XYZ):
```
4
Lattice="5.700 0.000 0.000 0.000 3.655 0.000 0.000 0.000 6.262" Properties=species:S:1:pos:R:3 pbc="T T T"
Nd 1.425 0.000 1.074
Nd 4.275 0.000 5.189
Lu 1.425 1.827 4.157
Lu 4.275 1.827 2.105
```



Record 12
A plane-wave DFT calculation with PBE-GGA was carried out for a geometry-optimized Ac8Rh3S4Cl structure.

Results
uncorrected formation energy	-1.401	eV/atom
E	-5.98	eV/atom
crystal system	trigonal
SG	R-3m (166)

Structure (extended XYZ):
```
16
Lattice="4.280 2.471 7.477 -4.280 2.471 7.477 0.000 -4.943 7.477" Properties=species:S:1:pos:R:3 pbc="T T T"
Ac -2.226 -1.285 13.034
Ac 0.000 0.000 5.483
Ac 0.000 -2.570 9.398
Ac -2.226 1.285 9.398
Ac 2.226 -1.285 13.034
Ac 0.000 2.570 13.034
Ac 0.000 0.000 16.948
Ac 2.226 1.285 9.398
Rh -4.280 0.000 11.216
Rh -2.140 1.236 3.739
Rh 2.140 1.236 3.739
S 0.000 0.000 0.000
S -2.140 -1.236 7.477
S -2.140 1.236 14.954
S 0.000 2.471 7.477
Cl 0.000 0.000 11.216
```



Record 13
A plane-wave DFT calculation with PBE-GGA was carried out for a geometry-optimized Rb11SeO5 structure.

Results
uncorrected formation energy	-0.893	eV/atom
E	-3.18	eV/atom
crystal system	monoclinic
SG	C2/m (12)

Structure (extended XYZ):
```
17
Lattice="4.881 -7.345 0.000 4.881 7.345 0.000 -3.135 0.000 8.250" Properties=species:S:1:pos:R:3 pbc="T T T"
Rb 0.000 0.000 0.000
Rb 3.492 4.347 1.335
Rb 1.287 1.806 3.857
Rb 3.135 4.347 6.916
Rb 3.256 0.000 1.401
Rb 1.287 -1.806 3.857
Rb 5.340 1.806 4.393
Rb 3.370 0.000 6.849
Rb 3.492 -4.347 1.335
Rb 5.340 -1.806 4.393
Rb 3.135 -4.347 6.916
Se -1.567 0.000 4.125
O 1.573 2.239 1.237
O 1.573 -2.239 1.237
O 3.313 0.000 4.125
O 5.053 2.239 7.013
O 5.053 -2.239 7.013
```



Record 14
A plane-wave DFT calculation with PBE-GGA was carried out for a geometry-optimized Pa2PdPt structure.

Results
E_form	-12.8	kcal/mol of atoms
E	-8.11	eV/atom
crystal system	tetragonal
polymorph energy (0 for the lowest one)	37	meV per atom
SG	P4/mmm (123)

Structure (extended XYZ):
```
4
Lattice="3.522 0.000 0.000 0.000 3.522 0.000 0.000 0.000 6.947" Properties=species:S:1:pos:R:3 pbc="T T T"
Pa 0.000 0.000 1.695
Pa 0.000 0.000 5.252
Pd 1.761 1.761 3.474
Pt 1.761 1.761 0.000
```



Record 15
A plane-wave DFT calculation with PBE-GGA was carried out for a geometry-optimized KIrAu2Br structure.

Results
uncorrected formation energy	1.180	eV/atom
E	-2.46	eV/atom
crystal system	tetragonal
SG	P4/mmm (123)

Structure (extended XYZ):
```
5
Lattice="5.155 0.000 0.000 0.000 5.155 0.000 0.000 0.000 5.878" Properties=species:S:1:pos:R:3 pbc="T T T"
K 0.000 0.000 0.000
Ir 2.578 2.578 0.000
Au 0.000 2.578 2.939
Au 2.578 0.000 2.939
Br 0.000 0.000 2.939
```